(1)
! PBE TlHgIr2, relaxed; values from VASP
&SYSTEM
  ibrav = 0, nat = 4, ntyp = 3
/
ATOMIC_SPECIES
Tl 204.38 Tl.upf
Hg 200.59 Hg.upf
Ir 192.22 Ir.upf
ATOMIC_POSITIONS angstrom
Tl 0.0000 0.0000 0.0000
Hg 0.0000 0.0000 3.7017
Ir 2.1982 0.0000 1.8509
Ir 0.0000 2.1982 1.8509
CELL_PARAMETERS angstrom
-2.1982 2.1982 3.7017
2.1982 -2.1982 3.7017
2.1982 2.1982 -3.7017
! SG: No. 139

---

(2)
! PBE TlHgIr2, relaxed; values from VASP
&SYSTEM
  ibrav = 0, nat = 4, ntyp = 3
/
ATOMIC_SPECIES
Tl 204.38 Tl.upf
Hg 200.59 Hg.upf
Ir 192.22 Ir.upf
ATOMIC_POSITIONS angstrom
Tl 0.0000 0.0000 0.0000
Hg 1.4214 1.9078 2.6149
Ir 0.0000 0.0000 4.6736
Ir 1.4214 1.9078 5.6451
CELL_PARAMETERS angstrom
2.8428 0.0000 0.0000
0.0000 3.8156 0.0000
0.0000 0.0000 7.8791
! SG: No. 25

---

(3)
! PBE TlHg4Ir, relaxed; values from VASP
&SYSTEM
  ibrav = 0, nat = 6, ntyp = 3
/
ATOMIC_SPECIES
Tl 204.38 Tl.upf
Hg 200.59 Hg.upf
Ir 192.22 Ir.upf
ATOMIC_POSITIONS angstrom
Tl 0.0000 0.0000 0.0000
Hg 5.1400 3.0952 3.0952
Hg 3.0952 5.1400 3.0952
Hg 3.0952 3.0952 5.1400
Hg 5.1400 5.1400 5.1400
Ir 2.0588 2.0588 2.0588
CELL_PARAMETERS angstrom
0.0000 4.1176 4.1176
4.1176 0.0000 4.1176
4.1176 4.1176 0.0000
! SG: No. 216

---

(4)
! PBE TlHgIr2, relaxed; values from VASP
&SYSTEM
  ibrav = 0, nat = 8, ntyp = 3
/
ATOMIC_SPECIES
Tl 204.38 Tl.upf
Hg 200.59 Hg.upf
Ir 192.22 Ir.upf
ATOMIC_POSITIONS angstrom
Tl 0.0000 0.0000 0.0000
Tl 0.0000 3.7706 1.3965
Hg 3.7706 0.0000 1.3965
Hg 0.0000 0.0000 2.7929
Ir 5.6559 1.8749 -0.6982
Ir 1.8749 1.8853 0.6982
Ir -1.8853 1.8957 2.0947
Ir 1.8957 1.8853 3.4912
CELL_PARAMETERS angstrom
-3.7706 3.7706 2.7929
3.7706 -3.7706 2.7929
3.7706 3.7706 -2.7929
! SG: No. 122

---

(5)
! PBE TlHgIr2, relaxed; values from VASP
&SYSTEM
  ibrav = 0, nat = 4, ntyp = 3
/
ATOMIC_SPECIES
Tl 204.38 Tl.upf
Hg 200.59 Hg.upf
Ir 192.22 Ir.upf
ATOMIC_POSITIONS angstrom
Tl 0.0000 0.0000 0.0000
Hg 1.4589 1.4589 3.1660
Ir 0.0000 0.0000 5.3434
Ir 1.4589 1.4589 6.9915
CELL_PARAMETERS angstrom
2.9177 0.0000 0.0000
0.0000 2.9177 0.0000
0.0000 0.0000 9.4482
! SG: No. 99

---

(6)
! PBE TlHgIr2, relaxed; values from VASP
&SYSTEM
  ibrav = 0, nat = 4, ntyp = 3
/
ATOMIC_SPECIES
Tl 204.38 Tl.upf
Hg 200.59 Hg.upf
Ir 192.22 Ir.upf
ATOMIC_POSITIONS angstrom
Tl 0.0000 0.0000 0.0000
Hg 4.0409 0.0000 2.5792
Ir 1.4945 0.0000 3.7792
Ir 6.5873 0.0000 1.3792
CELL_PARAMETERS angstrom
4.6318 -1.5274 0.0000
4.6318 1.5274 0.0000
-1.1819 0.0000 5.1584
! SG: No. 12

---

Result set for calculated volume: 17.89; 21.37; 23.27; 19.85; 20.11; 18.25 A^3/atom, one per record in the order listed.
Result set for energy: -4.488; -4.668; -1.429; -4.180; -4.640; -4.491 eV/atom, one per record in the order listed.
Result set for total moment: 0.000; 0.000; 0.000; 0.218; 0.000; 0.000 μB per atom, one per record in the order listed.